1.
A plane-wave DFT calculation with PBE was carried out for La3PmNd7 after structural relaxation.

The structure in extended XYZ format:
```
11
Lattice="-1.220 -0.489 -5.899 2.673 -7.650 3.183 -7.100 -1.775 4.717" Properties=species:S:1:pos:R:3 pbc="T T T"
La 0.610 -6.410 3.507
La -0.610 -0.244 -2.949
La -5.036 -3.015 4.393
Pm -2.823 -4.957 1.001
Nd -1.174 -2.061 0.415
Nd -4.602 -1.207 1.054
Nd -6.876 -5.200 1.863
Nd 1.230 -4.714 0.138
Nd -2.213 -4.712 3.950
Nd -1.044 -8.707 0.947
Nd -4.472 -7.853 1.586
```

Values from the calculation:
The calculation puts the magnetic moment at 0.000 μB/atom. Its symmetry is Immm, No. 71. The energy of formation comes out at 20.59 kJ/mol of atoms.



2.
A plane-wave DFT calculation with PBE was carried out for La4PmNd4 after structural relaxation.

The structure in extended XYZ format:
```
9
Lattice="-2.143 -1.805 -4.466 -5.694 -9.597 3.499 -8.486 -3.061 2.197" Properties=species:S:1:pos:R:3 pbc="T T T"
La -3.718 -2.585 -0.283
La -12.604 -11.877 1.512
La -10.888 -7.558 -1.056
La -5.435 -6.904 2.286
Pm -1.071 -0.902 -2.233
Nd -5.590 -5.576 -1.288
Nd -9.769 -11.059 -0.178
Nd -10.733 -8.886 2.518
Nd -6.554 -3.403 1.408
```

Values from the calculation:
The calculation puts the magnetic moment at 0.000 μB/atom. Its symmetry is C2/m, No. 12. The energy of formation comes out at 16.65 kJ/mol of atoms.



Question: The lowest energy of formation belongs to which entry?
Answer: La4PmNd4



Question: Among the records above, which one has the highest energy of formation?
Answer: La3PmNd7